Record 1
First-principles (GGA-PBE) data for crystalline TbHo3Zn at its relaxed geometry, as listed in Alexandria via LeMat-Bulk.

## Properties
space-group type	C2/m
polymorph energy (0 for the lowest one)	0.000	eV per atom

a = 14.5433 Å, b = 14.5433 Å, c = 5.3559 Å
α = 90.36°, β = 90.36°, γ = 14.27°
Last column: nearest neighbours and their distance in Å.
Fractional positions:
Tb1 0.2318 0.2318 0.2492  6 Tb 3.40-3.61, 6 Ho 3.43-3.66
Tb2 0.7682 0.7682 0.7508  6 Tb 3.40-3.61, 6 Ho 3.43-3.66
Ho1 0.1577 0.1577 0.7467  8 Ho 3.38-3.72, 4 Tb 3.43-3.66
Ho2 0.3769 0.3769 0.7555  2 Zn 3.01
Ho3 0.4549 0.4549 0.2613  6 Zn 3.04-3.28
Ho4 0.5451 0.5451 0.7387  6 Zn 3.04-3.28
Ho5 0.6231 0.6231 0.2445  2 Zn 3.01
Ho6 0.8423 0.8423 0.2533  8 Ho 3.38-3.72, 4 Tb 3.43-3.66
Zn1 0.0395 0.0395 0.2283  8 Ho 3.01-3.28, 1 Zn 3.33
Zn2 0.9605 0.9605 0.7717  8 Ho 3.01-3.28, 1 Zn 3.33



Record 2
First-principles (GGA-PBE) data for crystalline TbHoZn10 at its relaxed geometry, as listed in Alexandria via LeMat-Bulk.

## Properties
space-group type	Pmmm

a = 4.2128 Å, b = 5.3123 Å, c = 9.1638 Å
α = 90.00°, β = 90.00°, γ = 90.00°
Last column: nearest neighbours and their distance in Å.
Fractional positions:
Tb1 0.0000 0.0000 0.0000  18 Zn 3.07-3.39
Ho1 0.0000 0.5000 0.5000  18 Zn 3.05-3.39
Zn1 0.0000 0.0000 0.3352  6 Zn 2.59-2.61
Zn2 0.0000 0.0000 0.6648  6 Zn 2.59-2.61
Zn3 0.0000 0.5000 0.1674  6 Zn 2.60-2.61
Zn4 0.0000 0.5000 0.8326  6 Zn 2.60-2.61
Zn5 0.5000 0.0000 0.5000  8 Zn 2.59-2.64
Zn6 0.5000 0.2501 0.2505  8 Zn 2.60-2.66
Zn7 0.5000 0.2501 0.7495  8 Zn 2.60-2.66
Zn8 0.5000 0.5000 0.0000  8 Zn 2.61-2.65
Zn9 0.5000 0.7499 0.2505  8 Zn 2.60-2.66
Zn10 0.5000 0.7499 0.7495  8 Zn 2.60-2.66



Formation energy
In order: -120 -277
Unit: meV/atom
Total magnetization
In order: 0.00 0.00
Unit: μB/f.u.